No. 1
A plane-wave DFT calculation with GGA-PBE was carried out for a geometry-optimized Tm2Zr3NbN6 structure.

Values from the calculation:
The formation energy (no corrections) comes out at -19.47 eV per formula unit.

abc: 5.680 5.680 5.685
angles: 99.60 99.60 120.03
Atoms (fractional coordinates):
1 Tm 0.167 0.833 0.000
2 Tm 0.833 0.167 0.000
3 Zr 0.000 0.000 0.500
4 Zr 0.333 0.667 0.500
5 Zr 0.667 0.333 0.500
6 Nb 0.500 0.500 0.000
7 N 0.083 0.416 0.746
8 N 0.254 0.254 0.262
9 N 0.416 0.083 0.746
10 N 0.584 0.917 0.254
11 N 0.746 0.746 0.738
12 N 0.917 0.584 0.254

No. 2
A plane-wave DFT calculation with GGA-PBE was carried out for a geometry-optimized Zn2In2Tc structure.

Values from the calculation:
The calculation puts the formation energy at 0.35 eV/atom.

abc: 6.917 6.917 3.771
angles: 90.00 90.00 90.00
Atoms (fractional coordinates):
1 Zn 0.131 0.369 0.000
2 Zn 0.369 0.869 0.000
3 Zn 0.631 0.131 0.000
4 Zn 0.869 0.631 0.000
5 In 0.174 0.674 0.500
6 In 0.326 0.174 0.500
7 In 0.674 0.826 0.500
8 In 0.826 0.326 0.500
9 Tc 0.000 0.000 0.000
10 Tc 0.500 0.500 0.000

No. 3
A plane-wave DFT calculation with GGA-PBE was carried out for a geometry-optimized SrScIn2Re structure.

Values from the calculation:
The calculation puts the formation energy at 1.79 eV/atom.

abc: 5.624 5.624 4.867
angles: 90.00 90.00 90.00
Atoms (fractional coordinates):
1 Sr 0.000 0.000 0.000
2 Sc 0.500 0.500 0.500
3 In 0.000 0.500 0.000
4 In 0.500 0.000 0.000
5 Re 0.000 0.000 0.500

No. 4
A plane-wave DFT calculation with GGA-PBE was carried out for a geometry-optimized K2Y2ZrSe6 structure.

Values from the calculation:
The formation energy (no corrections) comes out at -18.21 eV per formula unit.

abc: 7.049 7.049 8.226
angles: 98.48 98.48 119.62
Atoms (fractional coordinates):
1 K 0.170 0.830 0.000
2 K 0.830 0.170 0.000
3 Y 0.333 0.667 0.500
4 Y 0.667 0.333 0.500
5 Zr 0.000 0.000 0.500
6 Se 0.069 0.387 0.700
7 Se 0.250 0.250 0.301
8 Se 0.387 0.069 0.700
9 Se 0.613 0.931 0.300
10 Se 0.750 0.750 0.699
11 Se 0.931 0.613 0.300

No. 5
A plane-wave DFT calculation with GGA-PBE was carried out for a geometry-optimized Ti2V2Co3 structure.

Values from the calculation:
The calculation puts the formation energy at -0.10 eV/atom.

abc: 12.101 12.101 2.758
angles: 90.00 90.00 166.97
Atoms (fractional coordinates):
1 Ti 0.069 0.931 0.000
2 Ti 0.931 0.069 0.000
3 V 0.205 0.795 0.000
4 V 0.795 0.205 0.000
5 Co 0.362 0.638 0.500
6 Co 0.500 0.500 0.500
7 Co 0.638 0.362 0.500

No. 6
A plane-wave DFT calculation with GGA-PBE was carried out for a geometry-optimized La2TbH structure.

Values from the calculation:
As for the energy above the most stable polymorph in this dataset: 226 meV per atom.

abc: 3.466 3.466 8.704
angles: 90.00 90.00 90.00
Atoms (fractional coordinates):
1 La 0.000 0.000 0.180
2 La 0.000 0.000 0.820
3 Tb 0.500 0.500 0.500
4 H 0.500 0.500 0.000

No. 7
A plane-wave DFT calculation with GGA-PBE was carried out for a geometry-optimized Cs2NaLi2F7 structure.

Values from the calculation:
The formation energy (no corrections) comes out at -27.45 eV per formula unit.

abc: 4.226 4.226 11.009
angles: 95.88 95.88 88.31
Atoms (fractional coordinates):
1 Cs 0.208 0.208 0.354
2 Cs 0.792 0.792 0.646
3 Na 0.000 0.000 0.000
4 Li 0.363 0.363 0.827
5 Li 0.637 0.637 0.173
6 F 0.138 0.653 0.149
7 F 0.289 0.289 0.648
8 F 0.347 0.862 0.851
9 F 0.500 0.500 0.000
10 F 0.653 0.138 0.149
11 F 0.711 0.711 0.352
12 F 0.862 0.347 0.851

No. 8
A plane-wave DFT calculation with GGA-PBE was carried out for a geometry-optimized TiTcRhO6 structure.

Values from the calculation:
The formation energy (no corrections) comes out at -14.88 eV per formula unit.

abc: 5.009 5.009 8.875
angles: 90.00 90.00 120.00
Atoms (fractional coordinates):
1 Ti 0.333 0.667 0.250
2 Ti 0.667 0.333 0.750
3 Tc 0.333 0.667 0.750
4 Tc 0.667 0.333 0.250
5 Rh 0.000 0.000 0.000
6 Rh 0.000 0.000 0.500
7 O 0.002 0.343 0.628
8 O 0.002 0.659 0.872
9 O 0.341 0.343 0.872
10 O 0.341 0.998 0.628
11 O 0.343 0.002 0.128
12 O 0.343 0.341 0.372
13 O 0.657 0.659 0.628
14 O 0.657 0.998 0.872
15 O 0.659 0.002 0.372
16 O 0.659 0.657 0.128
17 O 0.998 0.341 0.128
18 O 0.998 0.657 0.372

no.,volume (Å³/cell)
1,149.7
2,180.4
3,153.9
4,339.7
5,91.1
6,104.6
7,194.5
8,192.9